--- i ---
A geometry-optimized Dy3Ga3GePd2 structure. Source: OQMD via LeMat-Bulk, functional PBE.

Values from the calculation:
Calculated volume ... 21.81 A^3/atom

Unit cell a=7.6358 b=7.6358 c=3.8876 alpha=90.00 beta=90.00 gamma=120.00
Last column: nearest neighbours and their distance in Å.
Atoms (fractional coordinates):
Ge  0.0000  0.0000  0.5000  6 Dy 2.90, 3 Ga 3.08
Ga  0.4030  0.0000  0.5000  4 Pd 3.03, 1 Ge 3.08, 6 Dy 3.10-3.35
Ga  0.0000  0.4030  0.5000  4 Pd 3.03, 1 Ge 3.08, 6 Dy 3.10-3.35
Ga  0.5970  0.5970  0.5000  4 Pd 3.03, 1 Ge 3.08, 6 Dy 3.10-3.35
Dy  0.7190  0.0000  0.0000  2 Pd 2.77, 2 Ge 2.90, 2 Ga 3.10
Dy  0.2810  0.2810  0.0000  2 Pd 2.77, 2 Ge 2.90, 2 Ga 3.10
Dy  0.0000  0.7190  0.0000  2 Pd 2.77, 2 Ge 2.90, 2 Ga 3.10
Pd  0.3333  0.6667  0.0000  3 Dy 2.77, 6 Ga 3.03
Pd  0.6667  0.3333  0.0000  3 Dy 2.77, 6 Ga 3.03


--- ii ---
A geometry-optimized Dy3Ga3GePd2 structure. Source: OQMD via LeMat-Bulk, functional PBE.

Values from the calculation:
Calculated volume ... 20.21 A^3/atom

Unit cell a=7.4518 b=7.4518 c=3.7820 alpha=90.00 beta=90.00 gamma=120.00
Last column: nearest neighbours and their distance in Å.
Atoms (fractional coordinates):
Dy  0.3957  0.0000  0.0000  1 Ge 2.95, 4 Pd 2.97, 6 Ga 3.13-3.22
Dy  0.0000  0.3957  0.0000  1 Ge 2.95, 4 Pd 2.97, 6 Ga 3.13-3.22
Dy  0.6043  0.6043  0.0000  1 Ge 2.95, 4 Pd 2.97, 6 Ga 3.13-3.22
Ga  0.0000  0.7313  0.5000  2 Ge 2.75, 2 Pd 2.76
Ga  0.7313  0.0000  0.5000  2 Ge 2.75, 2 Pd 2.76
Ga  0.2687  0.2687  0.5000  2 Ge 2.75, 2 Pd 2.76
Ge  0.0000  0.0000  0.0000  6 Ga 2.75, 3 Dy 2.95
Pd  0.3333  0.6667  0.5000  3 Ga 2.76, 6 Dy 2.97
Pd  0.6667  0.3333  0.5000  3 Ga 2.76, 6 Dy 2.97


Energies relative to the minimum, meV/atom: i 311; ii 0


--- i ---
A geometry-optimized DyHoGa2 structure. Source: OQMD via LeMat-Bulk, functional PBE.

Values from the calculation:
Calculated volume ... 22.46 A^3/atom

Unit cell a=6.1644 b=6.1644 c=5.0174 alpha=90.00 beta=90.00 gamma=109.51
Last column: nearest neighbours and their distance in Å.
Atoms (fractional coordinates):
Dy  0.3685  0.6315  0.7500  8 Ga 3.06-3.09
Dy  0.6315  0.3685  0.2500  8 Ga 3.06-3.09
Ho  0.1239  0.8761  0.2500  8 Ga 3.06-3.11
Ho  0.8761  0.1239  0.7500  8 Ga 3.06-3.11
Ga  0.6245  0.8666  0.2500  4 Dy 3.06-3.09, 4 Ho 3.06-3.11
Ga  0.8666  0.6245  0.7500  4 Dy 3.06-3.09, 4 Ho 3.06-3.11
Ga  0.1334  0.3755  0.2500  4 Dy 3.06-3.09, 4 Ho 3.06-3.11
Ga  0.3755  0.1334  0.7500  4 Dy 3.06-3.09, 4 Ho 3.06-3.11


--- ii ---
A geometry-optimized DyHoGa2 structure. Source: OQMD via LeMat-Bulk, functional PBE.

Values from the calculation:
Calculated volume ... 23.04 A^3/atom

Unit cell a=5.1525 b=6.6508 c=6.6508 alpha=126.03 beta=90.00 gamma=90.00
Last column: nearest neighbours and their distance in Å.
Atoms (fractional coordinates):
Ho  0.2500  0.3247  0.7046  7 Ga 3.02-3.30, 1 Dy 3.13
Ho  0.7500  0.7046  0.3247  7 Ga 3.02-3.30, 1 Dy 3.13
Ga  0.7500  0.1844  0.8470  4 Ho 3.02-3.07, 3 Dy 3.11-3.12, 3 Ga 3.18-3.34
Ga  0.2500  0.7965  0.6790  3 Ga 2.93-3.18, 2 Dy 2.99-3.06, 1 Ho 3.24
Ga  0.2500  0.8470  0.1844  4 Ho 3.02-3.07, 3 Dy 3.11-3.12, 3 Ga 3.18-3.34
Ga  0.7500  0.6790  0.7965  3 Ga 2.93-3.18, 2 Dy 2.99-3.06, 1 Ho 3.24
Dy  0.7500  0.1612  0.3026  5 Ga 2.99-3.12, 2 Dy 3.07, 1 Ho 3.13
Dy  0.2500  0.3026  0.1612  5 Ga 2.99-3.12, 2 Dy 3.07, 1 Ho 3.13


Energies relative to the minimum, meV/atom: i 0; ii 262


--- i ---
A geometry-optimized DyHoGa2 structure. Source: OQMD via LeMat-Bulk, functional PBE.

Values from the calculation:
Calculated volume ... 23.78 A^3/atom

Unit cell a=4.0468 b=5.8439 c=5.8439 alpha=43.49 beta=90.00 gamma=90.00
Last column: nearest neighbours and their distance in Å.
Atoms (fractional coordinates):
Ho  0.5000  0.3607  0.3607  7 Ga 3.04-3.19
Ga  0.0000  0.9230  0.9230  2 Ga 2.62
Ga  0.5000  0.0769  0.0769  2 Ga 2.62
Dy  0.0000  0.6394  0.6394  7 Ga 3.04-3.19


--- ii ---
A geometry-optimized DyHoGa2 structure. Source: OQMD via LeMat-Bulk, functional PBE.

Values from the calculation:
Calculated volume ... 23.31 A^3/atom

Unit cell a=5.0346 b=6.6272 c=6.6272 alpha=57.51 beta=90.00 gamma=90.00
Last column: nearest neighbours and their distance in Å.
Atoms (fractional coordinates):
Ga  0.5000  0.1551  0.1551  4 Ho 3.11, 2 Ga 3.14, 4 Dy 3.17-3.22
Ga  0.5000  0.6566  0.2055  2 Ga 2.88-3.14, 2 Ho 2.98, 2 Dy 3.17
Ga  0.5000  0.2055  0.6566  2 Ga 2.88-3.14, 2 Ho 2.98, 2 Dy 3.17
Ga  0.0000  0.8338  0.8338  4 Dy 2.98-3.19, 2 Ho 3.09, 4 Ga 3.27
Dy  0.0000  0.3209  0.3209  8 Ga 3.17-3.19, 4 Ho 3.31-3.32
Dy  0.5000  0.6960  0.6960  6 Ga 2.98-3.24
Ho  0.0000  0.8297  0.3023  5 Ga 2.98-3.11, 1 Ho 3.01, 2 Dy 3.31-3.32
Ho  0.0000  0.3023  0.8297  5 Ga 2.98-3.11, 1 Ho 3.01, 2 Dy 3.31-3.32


--- iii ---
A geometry-optimized DyHoGa2 structure. Source: OQMD via LeMat-Bulk, functional PBE.

Values from the calculation:
Calculated volume ... 23.45 A^3/atom

Unit cell a=5.0737 b=6.6198 c=6.6198 alpha=57.53 beta=90.00 gamma=90.00
Last column: nearest neighbours and their distance in Å.
Atoms (fractional coordinates):
Dy  0.0000  0.1737  0.6969  5 Ga 2.99-3.14, 2 Dy 3.04-3.33, 2 Ho 3.30-3.32
Dy  0.0000  0.6969  0.1737  5 Ga 2.99-3.14, 2 Dy 3.04-3.33, 2 Ho 3.30-3.32
Ga  0.5000  0.8442  0.8442  4 Dy 3.14, 4 Ho 3.17-3.23, 4 Ga 3.17-3.48
Ga  0.5000  0.3533  0.7844  1 Ga 2.75, 2 Dy 2.99
Ga  0.0000  0.1673  0.1673  4 Ho 2.96-3.19, 2 Dy 3.09
Ga  0.5000  0.7844  0.3533  1 Ga 2.75, 2 Dy 2.99
Ho  0.5000  0.2992  0.2992  6 Ga 2.96-3.23
Ho  0.0000  0.6809  0.6809  8 Ga 3.16-3.19, 4 Dy 3.30-3.32


Energies relative to the minimum, meV/atom: i 0; ii 283; iii 290


--- i ---
A geometry-optimized DyHo2Ga structure. Source: OQMD via LeMat-Bulk, functional PBE.

Values from the calculation:
Calculated volume ... 26.91 A^3/atom

Unit cell a=4.8427 b=6.7427 c=6.7427 alpha=102.09 beta=90.00 gamma=90.00
Last column: nearest neighbours and their distance in Å.
Atoms (fractional coordinates):
Ho  0.7500  0.1604  0.9344  3 Ga 3.04-3.35, 3 Ho 3.30-3.39
Ho  0.2500  0.9344  0.1604  3 Ga 3.04-3.35, 3 Ho 3.30-3.39
Ho  0.7500  0.6322  0.8685  2 Ga 3.24, 4 Dy 3.30-3.50, 6 Ho 3.30-3.50
Ho  0.2500  0.8685  0.6322  2 Ga 3.24, 4 Dy 3.30-3.50, 6 Ho 3.30-3.50
Dy  0.7500  0.5665  0.3392  3 Ga 3.05-3.34, 1 Ho 3.30, 2 Dy 3.40
Dy  0.2500  0.3392  0.5665  3 Ga 3.05-3.34, 1 Ho 3.30, 2 Dy 3.40
Ga  0.7500  0.0728  0.4260  5 Ho 3.04-3.35, 3 Dy 3.05-3.34
Ga  0.2500  0.4260  0.0728  5 Ho 3.04-3.35, 3 Dy 3.05-3.34


--- ii ---
A geometry-optimized DyHo2Ga structure. Source: OQMD via LeMat-Bulk, functional PBE.

Values from the calculation:
Calculated volume ... 25.84 A^3/atom

Unit cell a=6.7784 b=6.7784 c=5.1994 alpha=90.00 beta=90.00 gamma=120.07
Last column: nearest neighbours and their distance in Å.
Atoms (fractional coordinates):
Ga  0.1660  0.8340  0.7500  8 Ho 3.19-3.40, 4 Dy 3.20-3.39
Ga  0.8340  0.1660  0.2500  8 Ho 3.19-3.40, 4 Dy 3.20-3.39
Dy  0.3242  0.6758  0.2500  4 Ga 3.20-3.39, 8 Ho 3.21-3.57
Dy  0.6758  0.3242  0.7500  4 Ga 3.20-3.39, 8 Ho 3.21-3.57
Ho  0.3243  0.1491  0.2500  4 Ga 3.19-3.40, 4 Ho 3.21-3.57, 4 Dy 3.21-3.57
Ho  0.6757  0.8509  0.7500  4 Ga 3.19-3.40, 4 Ho 3.21-3.57, 4 Dy 3.21-3.57
Ho  0.8509  0.6757  0.2500  4 Ga 3.19-3.40, 4 Ho 3.21-3.57, 4 Dy 3.21-3.57
Ho  0.1491  0.3243  0.7500  4 Ga 3.19-3.40, 4 Ho 3.21-3.57, 4 Dy 3.21-3.57


Energies relative to the minimum, meV/atom: i 0; ii 11


--- i ---
A geometry-optimized DyHoGa2Pd4 structure. Source: OQMD via LeMat-Bulk, functional PBE.

Values from the calculation:
Calculated volume ... 18.11 A^3/atom

Unit cell a=4.6784 b=4.6784 c=6.6207 alpha=90.00 beta=90.00 gamma=90.00
Last column: nearest neighbours and their distance in Å.
Atoms (fractional coordinates):
Dy  0.0000  0.0000  0.0000  8 Pd 2.87
Ga  0.0000  0.0000  0.5000  8 Pd 2.86
Ga  0.5000  0.5000  0.0000  8 Pd 2.87
Pd  0.0000  0.5000  0.7494  2 Ho 2.86, 4 Ga 2.86-2.87, 2 Dy 2.87
Pd  0.5000  0.0000  0.2506  4 Ga 2.86-2.87, 2 Ho 2.86, 2 Dy 2.87
Pd  0.5000  0.0000  0.7494  4 Ga 2.86-2.87, 2 Ho 2.86, 2 Dy 2.87
Pd  0.0000  0.5000  0.2506  2 Ho 2.86, 4 Ga 2.86-2.87, 2 Dy 2.87
Ho  0.5000  0.5000  0.5000  8 Pd 2.86


--- ii ---
A geometry-optimized DyHoGa2Pd4 structure. Source: OQMD via LeMat-Bulk, functional PBE.

Values from the calculation:
Calculated volume ... 18.93 A^3/atom

Unit cell a=4.4040 b=4.4040 c=9.0141 alpha=90.00 beta=90.00 gamma=120.00
Last column: nearest neighbours and their distance in Å.
Atoms (fractional coordinates):
Ga  0.6667  0.3333  0.7499  6 Pd 2.65
Ga  0.6667  0.3333  0.2501  6 Pd 2.65
Dy  0.0000  0.0000  0.0000  8 Pd 2.96-2.99
Pd  0.3333  0.6667  0.1687  3 Ga 2.65, 3 Pd 2.94, 3 Dy 2.96
Pd  0.0000  0.0000  0.3317  3 Ga 2.65, 3 Pd 2.94, 3 Ho 2.96
Pd  0.3333  0.6667  0.8313  3 Ga 2.65, 3 Pd 2.94, 3 Dy 2.96
Pd  0.0000  0.0000  0.6683  3 Ga 2.65, 3 Pd 2.94, 3 Ho 2.96
Ho  0.3333  0.6667  0.5000  8 Pd 2.96-2.99


Energies relative to the minimum, meV/atom: i 80; ii 0


--- i ---
A geometry-optimized DyHoGa2Pt4 structure. Source: OQMD via LeMat-Bulk, functional PBE.

Values from the calculation:
Calculated volume ... 18.89 A^3/atom

Unit cell a=4.3821 b=4.3821 c=9.0880 alpha=90.00 beta=90.00 gamma=120.00
Last column: nearest neighbours and their distance in Å.
Atoms (fractional coordinates):
Pt  0.3333  0.6667  0.6648  3 Ga 2.65, 3 Dy 2.94
Pt  0.0000  0.0000  0.1634  3 Ga 2.65, 3 Ho 2.93
Pt  0.3333  0.6667  0.3352  3 Ga 2.65, 3 Dy 2.94
Pt  0.0000  0.0000  0.8366  3 Ga 2.65, 3 Ho 2.93
Ga  0.6667  0.3333  0.2498  6 Pt 2.65
Ga  0.6667  0.3333  0.7502  6 Pt 2.65
Dy  0.0000  0.0000  0.5000  8 Pt 2.94-3.06
Ho  0.3333  0.6667  0.0000  8 Pt 2.93-3.05


--- ii ---
A geometry-optimized DyHoGa2Pt4 structure. Source: OQMD via LeMat-Bulk, functional PBE.

Values from the calculation:
Calculated volume ... 18.28 A^3/atom

Unit cell a=4.6927 b=4.6927 c=6.6391 alpha=90.00 beta=90.00 gamma=90.00
Last column: nearest neighbours and their distance in Å.
Atoms (fractional coordinates):
Ho  0.5000  0.5000  0.5000  8 Pt 2.87
Ga  0.5000  0.5000  0.0000  8 Pt 2.88
Ga  0.0000  0.0000  0.5000  8 Pt 2.87
Dy  0.0000  0.0000  0.0000  8 Pt 2.88
Pt  0.0000  0.5000  0.2508  4 Ga 2.87-2.88, 2 Ho 2.87, 2 Dy 2.88
Pt  0.5000  0.0000  0.2508  4 Ga 2.87-2.88, 2 Ho 2.87, 2 Dy 2.88
Pt  0.0000  0.5000  0.7492  2 Ho 2.87, 4 Ga 2.87-2.88, 2 Dy 2.88
Pt  0.5000  0.0000  0.7492  2 Ho 2.87, 4 Ga 2.87-2.88, 2 Dy 2.88


Energies relative to the minimum, meV/atom: i 0; ii 171